Entry from Alexandria: crystalline CaLa2MoO6 at its relaxed geometry (PBE+U).

Output
- Volume: 14.5 Å³ per atom
- E: -7.76 eV per atom
- Total magnetization: 0.20 μB per atom
- ρ: 5.84 g/cm³
- Symmetry: P2_1/c, No. 14

CIF file:
```
data_CaLa2MoO6
_space_group_name_H-M_alt 'P 1'
_space_group_IT_number 1
_space_group_name_Hall 'P 1'
_cell_length_a 5.753
_cell_length_b 5.986
_cell_length_c 8.422
_cell_angle_alpha 90.00
_cell_angle_beta 90.08
_cell_angle_gamma 90.00
loop_
_atom_site_label
_atom_site_fract_x
_atom_site_fract_y
_atom_site_fract_z
_atom_site_occupancy
La1 0.012 0.946 0.253 1
La2 0.512 0.554 0.753 1
La3 0.488 0.446 0.247 1
La4 0.988 0.054 0.747 1
O1 0.208 0.180 0.444 1
O2 0.708 0.320 0.944 1
O3 0.675 0.287 0.568 1
O4 0.792 0.820 0.556 1
O5 0.325 0.713 0.432 1
O6 0.379 0.943 0.738 1
O7 0.825 0.787 0.932 1
O8 0.121 0.443 0.762 1
O9 0.175 0.213 0.068 1
O10 0.621 0.057 0.262 1
O11 0.879 0.557 0.238 1
O12 0.292 0.680 0.056 1
Mo1 0.500 0.000 0.500 1
Mo2 0.000 0.500 0.000 1
Ca1 0.500 0.000 0.000 1
Ca2 0.000 0.500 0.500 1
```